First-principles (GGA-PBE) data for an optimized crystal structure of NaCa2Tl6, as listed in the Alexandria database.

Results
total magnetic moment	0.00	μB per formula unit
calculated formation energy	-0.21	eV/atom
space-group type	No. 136

Cell: 5.195 10.056 10.056 Å, 90.00 90.00 90.00°
Positions (direct):
Na (0.500, 0.500, 0.000)
Na (0.000, 0.000, 0.500)
Ca (0.000, 0.309, 0.809)
Ca (0.500, 0.809, 0.691)
Ca (0.500, 0.191, 0.309)
Ca (0.000, 0.691, 0.191)
Tl (0.000, 0.026, 0.163)
Tl (0.000, 0.663, 0.526)
Tl (0.000, 0.646, 0.854)
Tl (0.500, 0.146, 0.646)
Tl (0.500, 0.163, 0.974)
Tl (0.500, 0.526, 0.337)
Tl (0.000, 0.974, 0.837)
Tl (0.000, 0.337, 0.474)
Tl (0.000, 0.354, 0.146)
Tl (0.500, 0.854, 0.354)
Tl (0.500, 0.837, 0.026)
Tl (0.500, 0.474, 0.663)

***

First-principles (GGA-PBE) data for an optimized crystal structure of TlCrTc, as listed in the Alexandria database.

Results
total magnetic moment	0.00	μB per formula unit
calculated formation energy	0.59	eV/atom
space-group type	No. 156

Cell: 3.079 3.079 6.578 Å, 90.00 90.00 120.00°
Positions (direct):
Cr (0.000, 0.000, 0.050)
Tc (0.667, 0.333, 0.278)
Tl (0.333, 0.667, 0.673)

***

First-principles (GGA-PBE) data for an optimized crystal structure of NaSn3, as listed in the Alexandria database.

Results
total magnetic moment	0.00	μB per formula unit
calculated formation energy	-0.09	eV/atom
space-group type	No. 139

Cell: 5.862 5.862 5.862 Å, 132.49 132.49 69.45°
Positions (direct):
Na (0.000, 0.000, 0.000)
Sn (0.750, 0.250, 0.500)
Sn (0.250, 0.750, 0.500)
Sn (0.500, 0.500, 0.000)

***

First-principles (GGA-PBE) data for an optimized crystal structure of NdThSiAg, as listed in the Alexandria database.

Results
total magnetic moment	0.00	μB per formula unit
space-group type	No. 216
E	-5.415	eV/atom

Cell: 5.212 5.212 5.212 Å, 60.00 60.00 60.00°
Positions (direct):
Si (0.750, 0.750, 0.750)
Nd (0.500, 0.500, 0.500)
Ag (0.250, 0.250, 0.250)
Th (0.000, 0.000, 0.000)

***

First-principles (GGA-PBE) data for an optimized crystal structure of K3Pa3FeS8, as listed in the Alexandria database.

Results
total magnetic moment	6.23	μB per formula unit
space-group type	No. 166
E	-6.200	eV/atom

Cell: 7.869 7.868 8.828 Å, 116.45 90.00 120.01°
Each line ends with the local moment (μB).
Positions (direct):
K (0.000, 0.000, 0.000)  0.00
K (0.000, 0.500, 0.000)  0.00
K (0.500, 0.500, 0.000)  0.00
Pa (0.500, 0.000, 0.500)  0.84
Pa (0.500, 0.500, 0.500)  0.84
Pa (0.000, 0.500, 0.500)  0.84
Fe (0.000, 0.000, 0.500)  3.11
S (0.264, 0.528, 0.292)  -0.03
S (0.736, 0.472, 0.708)  -0.03
S (0.773, 0.546, 0.308)  0.00
S (0.227, 0.454, 0.692)  0.00
S (0.773, 0.034, 0.308)  0.00
S (0.227, 0.966, 0.692)  0.00
S (0.261, 0.034, 0.308)  0.00
S (0.739, 0.966, 0.692)  0.00

***

First-principles (GGA-PBE) data for an optimized crystal structure of Ho5Tm12Zr2, as listed in the Alexandria database.

Results
total magnetic moment	0.00	μB per formula unit
calculated formation energy	0.17	eV/atom
space-group type	No. 12

Cell: 7.309 9.678 9.351 Å, 71.59 90.00 112.19°
Positions (direct):
Ho (0.202, 0.403, 0.789)
Ho (0.312, 0.624, 0.209)
Ho (0.000, 0.000, 0.500)
Ho (0.688, 0.376, 0.791)
Ho (0.798, 0.597, 0.211)
Tm (0.982, 0.964, 0.191)
Tm (0.089, 0.688, 0.874)
Tm (0.599, 0.688, 0.874)
Tm (0.089, 0.685, 0.504)
Tm (0.595, 0.685, 0.504)
Tm (0.496, 0.992, 0.685)
Tm (0.504, 0.008, 0.315)
Tm (0.911, 0.315, 0.496)
Tm (0.405, 0.315, 0.496)
Tm (0.911, 0.312, 0.126)
Tm (0.401, 0.312, 0.126)
Tm (0.018, 0.036, 0.809)
Zr (0.677, 0.000, 0.000)
Zr (0.323, 0.000, 0.000)

***

First-principles (GGA-PBE) data for an optimized crystal structure of LaDy4Tl4, as listed in the Alexandria database.

Results
total magnetic moment	0.00	μB per formula unit
calculated formation energy	-0.17	eV/atom
space-group type	No. 86

Cell: 5.877 9.591 9.591 Å, 90.00 90.00 90.00°
Positions (direct):
La (0.000, 0.000, 0.000)
La (0.500, 0.500, 0.500)
Dy (0.399, 0.419, 0.847)
Dy (0.899, 0.653, 0.919)
Dy (0.399, 0.581, 0.153)
Dy (0.101, 0.081, 0.653)
Dy (0.601, 0.847, 0.581)
Dy (0.101, 0.919, 0.347)
Dy (0.899, 0.347, 0.081)
Dy (0.601, 0.153, 0.419)
Tl (0.592, 0.892, 0.216)
Tl (0.592, 0.108, 0.784)
Tl (0.092, 0.716, 0.608)
Tl (0.908, 0.392, 0.716)
Tl (0.908, 0.608, 0.284)
Tl (0.408, 0.216, 0.108)
Tl (0.408, 0.784, 0.892)
Tl (0.092, 0.284, 0.392)

***

First-principles (GGA-PBE) data for an optimized crystal structure of Cs4Nd3USe8, as listed in the Alexandria database.

Results
total magnetic moment	2.98	μB per formula unit
space-group type	No. 166
E	-5.142	eV/atom

Cell: 8.765 9.811 8.765 Å, 116.53 120.00 90.00°
Each line ends with the local moment (μB).
Positions (direct):
Cs (0.500, 0.000, 0.000)  0.00
Cs (0.500, 0.000, 0.500)  0.00
Cs (0.000, 0.000, 0.000)  0.00
Cs (0.000, 0.000, 0.500)  0.00
Nd (0.500, 0.500, 0.000)  0.04
Nd (0.500, 0.500, 0.500)  0.04
Nd (0.000, 0.500, 0.500)  0.04
U (0.000, 0.500, 0.000)  2.62
Se (0.227, 0.689, 0.962)  -0.02
Se (0.227, 0.689, 0.453)  -0.02
Se (0.270, 0.309, 0.539)  0.00
Se (0.736, 0.689, 0.962)  -0.02
Se (0.264, 0.311, 0.038)  -0.02
Se (0.730, 0.691, 0.461)  0.00
Se (0.773, 0.311, 0.547)  -0.02
Se (0.773, 0.311, 0.038)  -0.02